P.
Entry from Alexandria: a geometry-optimized CrSF2 structure (PBE with a Hubbard U).

Geometry as extended XYZ:
```
4
Lattice="0.000 2.974 2.974 2.974 0.000 2.974 2.974 2.974 0.000" Properties=species:S:1:pos:R:3 pbc="T T T"
Cr 0.000 0.000 0.000
S 2.974 2.974 2.974
F 1.487 1.487 1.487
F 4.461 4.461 4.461
```

density of states at the Fermi level = 0.004 states/eV/atom



Q.
Entry from Alexandria: a geometry-optimized CrSF2 structure (PBE with a Hubbard U).

Geometry as extended XYZ:
```
4
Lattice="1.446 0.835 9.165 -1.446 0.835 9.165 0.000 -1.669 9.165" Properties=species:S:1:pos:R:3 pbc="T T T"
Cr 0.000 0.000 0.000
S 0.000 0.000 13.748
F 0.000 0.000 10.315
F 0.000 0.000 17.180
```

density of states at the Fermi level = 0.589 states/eV/atom



Most stable structure - Q; separation to the second - 347 meV per atom.



P.
Entry from Alexandria: a geometry-optimized CrS2F2 structure (PBE with a Hubbard U).

Geometry as extended XYZ:
```
10
Lattice="6.187 0.000 0.000 0.000 6.187 0.000 0.000 0.000 4.006" Properties=species:S:1:pos:R:3 pbc="T T T"
Cr 0.000 0.000 0.000
Cr 3.093 3.093 0.000
S 0.672 2.421 0.000
S 2.421 5.514 0.000
S 3.766 0.672 0.000
S 5.514 3.766 0.000
F 1.535 4.628 2.003
F 1.558 1.535 2.003
F 4.628 4.652 2.003
F 4.652 1.558 2.003
```

density of states at the Fermi level = 0.000 states/eV/atom



Q.
Entry from Alexandria: a geometry-optimized CrS2F2 structure (PBE with a Hubbard U).

Geometry as extended XYZ:
```
5
Lattice="-1.684 1.684 6.213 1.684 -1.684 6.213 1.684 1.684 -6.213" Properties=species:S:1:pos:R:3 pbc="T T T"
Cr 0.000 0.000 0.000
S 0.000 0.000 5.095
S 0.000 0.000 7.330
F 1.684 0.000 3.106
F 0.000 1.684 3.106
```

density of states at the Fermi level = 0.578 states/eV/atom



Most stable structure - P; separation to the second - 551 meV per atom.



P.
Entry from Alexandria: a geometry-optimized Cr2SbF structure (PBE with a Hubbard U).

Geometry as extended XYZ:
```
4
Lattice="0.000 3.299 3.299 3.299 0.000 3.299 3.299 3.299 0.000" Properties=species:S:1:pos:R:3 pbc="T T T"
Cr 1.649 1.649 1.649
Cr 4.948 4.948 4.948
Sb 0.000 0.000 0.000
F 3.299 3.299 3.299
```

density of states at the Fermi level = 0.323 states/eV/atom



Q.
Entry from Alexandria: a geometry-optimized Cr2SbF structure (PBE with a Hubbard U).

Geometry as extended XYZ:
```
8
Lattice="-2.663 2.663 6.263 2.663 -2.663 6.263 2.663 2.663 -6.263" Properties=species:S:1:pos:R:3 pbc="T T T"
Cr 3.994 0.804 -1.566
Cr 0.804 1.331 1.566
Cr -1.331 1.859 4.697
Cr 1.859 1.331 7.828
Sb 2.663 0.000 3.131
Sb 0.000 0.000 6.263
F 0.000 0.000 0.000
F 0.000 2.663 3.131
```

density of states at the Fermi level = 0.413 states/eV/atom



Most stable structure - P; separation to the second - 14 meV per atom.



P.
Entry from Alexandria: a geometry-optimized CrSbF2 structure (PBE with a Hubbard U).

Geometry as extended XYZ:
```
4
Lattice="1.635 0.944 9.197 -1.635 0.944 9.197 0.000 -1.888 9.197" Properties=species:S:1:pos:R:3 pbc="T T T"
Cr 0.000 0.000 0.000
Sb 0.000 0.000 13.795
F 0.000 0.000 10.149
F 0.000 0.000 17.442
```

density of states at the Fermi level = 0.959 states/eV/atom



Q.
Entry from Alexandria: a geometry-optimized CrSbF2 structure (PBE with a Hubbard U).

Geometry as extended XYZ:
```
4
Lattice="0.000 3.121 3.121 3.121 0.000 3.121 3.121 3.121 0.000" Properties=species:S:1:pos:R:3 pbc="T T T"
Cr 0.000 0.000 0.000
Sb 3.121 3.121 3.121
F 1.561 1.561 1.561
F 4.682 4.682 4.682
```

density of states at the Fermi level = 0.645 states/eV/atom



R.
Entry from Alexandria: a geometry-optimized CrSbF2 structure (PBE with a Hubbard U).

Geometry as extended XYZ:
```
8
Lattice="-3.346 3.346 3.306 3.346 -3.346 3.306 3.346 3.346 -3.306" Properties=species:S:1:pos:R:3 pbc="T T T"
Cr 0.000 0.000 0.000
Cr 0.000 3.346 1.653
Sb 3.346 0.000 1.653
Sb 0.000 0.000 3.306
F 0.778 1.673 0.826
F -1.673 2.568 2.479
F -0.778 5.018 0.826
F 1.673 4.123 2.479
```

density of states at the Fermi level = 0.262 states/eV/atom



Most stable structure - P; separation to the second - 225 meV per atom.



P.
Entry from Alexandria: a geometry-optimized CrSbF5 structure (PBE with a Hubbard U).

Geometry as extended XYZ:
```
28
Lattice="6.085 0.000 0.000 0.000 9.989 0.000 -1.857 0.000 7.471" Properties=species:S:1:pos:R:3 pbc="T T T"
Cr -0.377 2.402 2.850
Cr -1.306 2.593 6.585
Cr 5.534 7.396 0.886
Cr 4.605 7.587 4.621
Sb 1.549 5.250 5.490
Sb 2.478 9.733 1.755
Sb 1.750 0.255 5.716
Sb 2.679 4.739 1.981
F -0.675 1.935 4.791
F 0.254 3.059 1.055
F -0.192 6.018 4.527
F 0.736 8.965 0.792
F 1.329 6.189 1.482
F 0.400 8.794 5.218
F 1.139 0.925 2.800
F 0.210 4.070 6.536
F 2.254 1.010 0.169
F 1.325 3.984 3.904
F 2.903 6.004 3.566
F 1.974 8.979 7.302
F 4.018 5.919 0.935
F 3.089 9.064 4.671
F 3.827 1.195 2.253
F 2.899 3.800 5.988
F 3.491 1.023 6.679
F 4.420 3.971 2.944
F 3.974 6.930 6.415
F 4.902 8.053 2.680
```

density of states at the Fermi level = 0.000 states/eV/atom



Q.
Entry from Alexandria: a geometry-optimized CrSbF5 structure (PBE with a Hubbard U).

Geometry as extended XYZ:
```
14
Lattice="4.587 -3.418 0.000 4.587 3.418 0.000 -3.564 0.000 7.507" Properties=species:S:1:pos:R:3 pbc="T T T"
Cr 1.914 3.216 5.631
Cr 3.696 -3.216 1.877
Sb 4.587 0.000 0.000
Sb 2.805 0.000 3.754
F 4.194 2.080 0.440
F 0.947 0.269 2.657
F 3.198 2.080 3.314
F -0.835 -0.269 6.411
F 1.914 1.003 5.631
F 3.696 -1.003 1.877
F 6.444 0.269 1.097
F 2.412 -2.080 4.194
F 4.662 -0.269 4.850
F 1.416 -2.080 7.067
```

density of states at the Fermi level = 0.000 states/eV/atom



Most stable structure - P; separation to the second - 61 meV per atom.



P.
Entry from Alexandria: a geometry-optimized Cr2SeF structure (PBE with a Hubbard U).

Geometry as extended XYZ:
```
8
Lattice="-2.654 2.654 6.046 2.654 -2.654 6.046 2.654 2.654 -6.046" Properties=species:S:1:pos:R:3 pbc="T T T"
Cr 3.980 1.078 -1.512
Cr 1.078 1.327 1.512
Cr -1.327 1.575 4.535
Cr 1.575 1.327 7.558
Se 2.654 0.000 3.023
Se 0.000 0.000 6.046
F 0.000 0.000 0.000
F 0.000 2.654 3.023
```

density of states at the Fermi level = 0.117 states/eV/atom



Q.
Entry from Alexandria: a geometry-optimized Cr2SeF structure (PBE with a Hubbard U).

Geometry as extended XYZ:
```
4
Lattice="0.000 3.186 3.186 3.186 0.000 3.186 3.186 3.186 0.000" Properties=species:S:1:pos:R:3 pbc="T T T"
Cr 1.593 1.593 1.593
Cr 4.779 4.779 4.779
Se 0.000 0.000 0.000
F 3.186 3.186 3.186
```

density of states at the Fermi level = 0.517 states/eV/atom



Most stable structure - P; separation to the second - 65 meV per atom.



P.
Entry from Alexandria: a geometry-optimized CrSeF3 structure (PBE with a Hubbard U).

Geometry as extended XYZ:
```
5
Lattice="4.439 0.000 0.000 0.000 4.439 0.000 0.000 0.000 4.439" Properties=species:S:1:pos:R:3 pbc="T T T"
Cr 0.000 0.000 0.000
Se 2.219 2.219 2.219
F 0.000 2.219 2.219
F 2.219 0.000 2.219
F 2.219 2.219 0.000
```

density of states at the Fermi level = 0.334 states/eV/atom



Q.
Entry from Alexandria: a geometry-optimized CrSeF3 structure (PBE with a Hubbard U).

Geometry as extended XYZ:
```
5
Lattice="4.152 0.000 0.000 0.000 4.152 0.000 0.000 0.000 4.152" Properties=species:S:1:pos:R:3 pbc="T T T"
Cr 0.000 0.000 0.000
Se 2.076 2.076 2.076
F 0.000 0.000 2.076
F 0.000 2.076 0.000
F 2.076 0.000 0.000
```

density of states at the Fermi level = 0.484 states/eV/atom



Most stable structure - Q; separation to the second - 705 meV per atom.



P.
Entry from Alexandria: a geometry-optimized Cr3SnF structure (PBE with a Hubbard U).

Geometry as extended XYZ:
```
5
Lattice="4.542 0.000 0.000 0.000 4.542 0.000 0.000 0.000 4.542" Properties=species:S:1:pos:R:3 pbc="T T T"
Cr 0.000 0.000 2.271
Cr 0.000 2.271 0.000
Cr 2.271 0.000 0.000
Sn 2.271 2.271 2.271
F 0.000 0.000 0.000
```

density of states at the Fermi level = 0.301 states/eV/atom



Q.
Entry from Alexandria: a geometry-optimized Cr3SnF structure (PBE with a Hubbard U).

Geometry as extended XYZ:
```
5
Lattice="5.292 0.000 0.000 0.000 5.292 0.000 0.000 0.000 5.292" Properties=species:S:1:pos:R:3 pbc="T T T"
Cr 0.000 0.000 2.646
Cr 0.000 2.646 0.000
Cr 2.646 0.000 0.000
Sn 0.000 0.000 0.000
F 2.646 2.646 2.646
```

density of states at the Fermi level = 0.400 states/eV/atom



Most stable structure - P; separation to the second - 726 meV per atom.



P.
Entry from Alexandria: a geometry-optimized CrSn2F structure (PBE with a Hubbard U).

Geometry as extended XYZ:
```
4
Lattice="0.000 3.341 3.341 3.341 0.000 3.341 3.341 3.341 0.000" Properties=species:S:1:pos:R:3 pbc="T T T"
Cr 0.000 0.000 0.000
Sn 1.671 1.671 1.671
Sn 5.012 5.012 5.012
F 3.341 3.341 3.341
```

density of states at the Fermi level = 0.613 states/eV/atom



Q.
Entry from Alexandria: a geometry-optimized CrSn2F structure (PBE with a Hubbard U).

Geometry as extended XYZ:
```
8
Lattice="-2.450 2.450 8.202 2.450 -2.450 8.202 2.450 2.450 -8.202" Properties=species:S:1:pos:R:3 pbc="T T T"
Cr 0.000 0.000 0.000
Cr 0.000 2.450 4.101
Sn 1.225 -0.869 6.152
Sn 1.580 1.225 2.051
Sn 1.225 3.319 -2.051
Sn 0.869 1.225 10.253
F 2.450 0.000 4.101
F 0.000 0.000 8.202
```

density of states at the Fermi level = 0.525 states/eV/atom



Most stable structure - Q; separation to the second - 663 meV per atom.



P.
Entry from Alexandria: a geometry-optimized SrCrF2 structure (PBE with a Hubbard U).

Geometry as extended XYZ:
```
4
Lattice="0.000 3.268 3.268 3.268 0.000 3.268 3.268 3.268 0.000" Properties=species:S:1:pos:R:3 pbc="T T T"
Sr 0.000 0.000 0.000
Cr 3.268 3.268 3.268
F 1.634 1.634 1.634
F 4.903 4.903 4.903
```

density of states at the Fermi level = 0.342 states/eV/atom



Q.
Entry from Alexandria: a geometry-optimized SrCrF2 structure (PBE with a Hubbard U).

Geometry as extended XYZ:
```
4
Lattice="2.074 1.197 5.655 -2.074 1.197 5.655 0.000 -2.395 5.655" Properties=species:S:1:pos:R:3 pbc="T T T"
Sr 0.000 0.000 0.000
Cr 0.000 0.000 8.482
F 0.000 0.000 6.441
F 0.000 0.000 10.524
```

density of states at the Fermi level = 0.165 states/eV/atom



Most stable structure - Q; separation to the second - 425 meV per atom.



P.
Entry from Alexandria: a geometry-optimized Sr2CrF structure (PBE with a Hubbard U).

Geometry as extended XYZ:
```
8
Lattice="-3.798 3.798 4.433 3.798 -3.798 4.433 3.798 3.798 -4.433" Properties=species:S:1:pos:R:3 pbc="T T T"
Sr 1.899 1.182 -1.108
Sr 2.616 -1.899 5.541
Sr 1.899 2.616 3.325
Sr 1.182 5.697 1.108
Cr 3.798 0.000 2.217
Cr 0.000 0.000 4.433
F 0.000 0.000 0.000
F 0.000 3.798 2.217
```

density of states at the Fermi level = 0.212 states/eV/atom



Q.
Entry from Alexandria: a geometry-optimized Sr2CrF structure (PBE with a Hubbard U).

Geometry as extended XYZ:
```
4
Lattice="0.000 3.958 3.958 3.958 0.000 3.958 3.958 3.958 0.000" Properties=species:S:1:pos:R:3 pbc="T T T"
Sr 1.979 1.979 1.979
Sr 5.937 5.937 5.937
Cr 0.000 0.000 0.000
F 3.958 3.958 3.958
```

density of states at the Fermi level = 0.496 states/eV/atom



Most stable structure - P; separation to the second - 480 meV per atom.